# 1
Cd3Sn3Pb: optimized geometry, GGA-PBE.

Summary:
**Total magnetization**: 0.0 μB per formula unit
**Density of states at the Fermi level**: 1.216 states/eV per atom
**ΔE_f**: 3.4 eV per formula unit

Cell: 7.964 7.964 7.964 Å, 90.00 90.00 90.00°
Space group Pm-3n (No. 223)
Inequivalent atoms, fractional coordinates:
Cd1 0.000 0.250 0.500
Sn1 0.000 0.500 0.250
Pb1 0.000 0.000 0.000

# 2
CaIn2GaAg4: optimized geometry, GGA-PBE.

Summary:
**Total magnetization**: 0.0 μB per formula unit
**Density of states at the Fermi level**: 0.297 states/eV per atom
**ΔE_f**: -1.0 eV per formula unit

Cell: 4.7905 4.7905 25.7529 Å, 90.00 90.00 120.00°
Space group R-3m (No. 166, hexagonal axes)
Inequivalent atoms, fractional coordinates:
Ca1 0.0000 0.0000 0.0000
In1 0.0000 0.0000 0.2559
Ga1 0.0000 0.0000 0.5000
Ag1 0.0000 0.0000 0.1338
Ag2 0.0000 0.0000 0.3939

# 3
CaLaCl: optimized geometry, GGA-PBE.

Summary:
**Total magnetization**: 0.0 μB per formula unit
**Density of states at the Fermi level**: 1.382 states/eV per atom
**Energy relative to the lowest polymorph listed for this composition**: 1141.2 meV per atom
**Energy relative to the elements, uncorrected**: 0.13 eV per atom

Cell: 7.614 7.614 7.614 Å, 90.00 90.00 90.00°
Space group F-43m (No. 216)
Inequivalent atoms, fractional coordinates:
Ca1 0.000 0.000 0.000
La1 0.250 0.250 0.250
Cl1 0.000 0.000 0.500

| no. | electronic total energy (eV/atom) |
| --- | --- |
| 1 | -2.151 |
| 2 | -2.862 |
| 3 | -2.795 |